Entry 1:
Below is crystalline CoSbOs2 at its relaxed geometry, with properties calculated at the PBE-GGA level.

The value obtained for the total magnetization is 0.92 μB per formula unit. As for the uncorrected formation energy: 46 kJ per mole of atoms. The electronic total energy comes out at -7.949 eV per atom. The calculation puts the excess energy over the best structure of this formula in the dataset at 28 meV/atom.

It has space group P4mm (No. 99), with a = 2.896 Å, b = 2.896 Å, c = 7.264 Å, α = 90.00°, β = 90.00° and γ = 90.00°. The distinct sites, in fractional coordinates, are Co at (0.000, 0.000, 0.000), Sb at (0.500, 0.500, 0.761), Os at (0.000, 0.000, 0.469) and Os at (0.500, 0.500, 0.240).



Entry 2:
Below is crystalline K4Na2Pt at its relaxed geometry, with properties calculated at the PBE-GGA level.

The value obtained for the total magnetization is 0.00 μB per formula unit. The electronic total energy comes out at -1.794 eV per atom. Its calculated formation energy is 0.514 eV/f.u.

It has space group I4/mmm (No. 139), with a = 6.225 Å, b = 6.225 Å, c = 19.585 Å, α = 90.00°, β = 90.00° and γ = 90.00°. The distinct sites, in fractional coordinates, are K at (0.000, 0.000, 0.160), K at (0.000, 0.500, 0.000), Na at (0.000, 0.000, 0.361) and Pt at (0.000, 0.000, 0.000).



Entry 3:
Below is crystalline PmLuZnGe at its relaxed geometry, with properties calculated at the PBE-GGA level.

The value obtained for the total magnetization is 0.00 μB per formula unit. The electronic total energy comes out at -4.291 eV per atom. Its calculated formation energy is -2.001 eV/f.u.

It has space group F-43m (No. 216), with a = 7.124 Å, b = 7.124 Å, c = 7.124 Å, α = 90.00°, β = 90.00° and γ = 90.00°. The distinct sites, in fractional coordinates, are Pm at (0.000, 0.000, 0.000), Lu at (0.000, 0.000, 0.500), Zn at (0.250, 0.250, 0.250) and Ge at (0.250, 0.250, 0.750).



no.,theoretical density (Mg/m³),N(E_F) (states/eV per atom)
1,15.3,0.86
2,1.7,0.22
3,8.4,0.52